Computed, not measured: Ho7ErCd4 after structural relaxation at the PBE level of DFT.

Cell lengths 14.6148, 5.6770, 9.6737 Å; angles 90.00, 121.90, 90.00 degrees
With the nearest neighbours (Å) after each atom.
Space group C2/m (No. 12)
Inequivalent atoms, fractional coordinates:
Ho (0.0000, 0.0000, 0.0000) (multiplicity 2)  2 Er 2.84, 4 Cd 2.95-3.16
Ho (0.0717, 0.5000, 0.4132) (multiplicity 4)  3 Cd 3.10-3.19, 2 Ho 3.31-3.43
Ho (0.2059, 0.5000, 0.8811) (multiplicity 4)  4 Cd 3.33-3.71, 5 Ho 3.45-3.53
Ho (0.2395, 0.0000, 0.6956) (multiplicity 4)  4 Cd 2.97-3.16
Er (0.0000, 0.5000, 0.0000) (multiplicity 2)  2 Ho 2.84
Cd (0.0422, 0.0000, 0.7111) (multiplicity 4)  4 Ho 2.97-3.19, 1 Cd 3.03
Cd (0.1812, 0.0000, 0.3415) (multiplicity 4)  5 Ho 2.95-3.16, 1 Cd 3.03

DFT formation energy = 0.019 eV per atom

Computed, not measured: KIn6Pb after structural relaxation at the PBE level of DFT.

Cell lengths 5.4439, 5.4439, 8.7383 Å; angles 90.00, 90.00, 90.00 degrees
With the nearest neighbours (Å) after each atom.
Space group P4/mmm (No. 123)
Inequivalent atoms, fractional coordinates:
K (0.0000, 0.0000, 0.0000) (multiplicity 1)  16 In 3.88-4.11
In (0.0000, 0.5000, 0.3168) (multiplicity 4)  3 In 3.03-3.20, 2 Pb 3.16
In (0.5000, 0.5000, 0.1658) (multiplicity 2)  5 In 2.90-3.03
Pb (0.0000, 0.0000, 0.5000) (multiplicity 1)  8 In 3.16

DFT formation energy = -0.023 eV per atom

Computed, not measured: Sc2Al3Ru4 after structural relaxation at the PBE level of DFT.

Cell lengths 7.7708, 4.3402, 8.2062 Å; angles 90.00, 93.90, 90.00 degrees
With the nearest neighbours (Å) after each atom.
Space group C2/m (No. 12)
Inequivalent atoms, fractional coordinates:
Sc (0.1795, 0.0000, 0.2164) (multiplicity 4)  7 Ru 2.65-2.83
Al (0.0000, 0.5000, 0.0000) (multiplicity 2)  8 Ru 2.67-2.88
Al (0.1523, 0.0000, 0.5810) (multiplicity 4)  4 Ru 2.54-2.65, 1 Al 2.63
Ru (0.0241, 0.5000, 0.3515) (multiplicity 4)  1 Ru 2.49, 3 Al 2.54-2.65, 2 Sc 2.75
Ru (0.1573, 0.0000, 0.8924) (multiplicity 4)  4 Al 2.55-2.75, 4 Sc 2.65-2.71

DFT formation energy = -0.598 eV per atom

Computed, not measured: CaSm2Ho after structural relaxation at the PBE level of DFT.

Cell lengths 24.2364, 3.5130, 6.5152 Å; angles 90.00, 94.22, 90.00 degrees
With the nearest neighbours (Å) after each atom.
Space group C2/m (No. 12)
Inequivalent atoms, fractional coordinates:
Ca (0.0011, 0.0000, 0.2487) (multiplicity 4)  4 Ca 3.24-3.51
Sm (0.1280, 0.5000, 0.0316) (multiplicity 4)  6 Sm 3.51-3.76, 3 Ho 3.60-3.62, 4 Ca 3.90-3.92
Sm (0.1361, 0.0000, 0.5432) (multiplicity 4)  3 Ho 3.44-3.49, 6 Sm 3.51-3.76, 2 Ca 3.67-3.68
Ho (0.2484, 0.0000, 0.2484) (multiplicity 4)  6 Sm 3.44-3.62, 6 Ho 3.51-3.72

relative energy among the computed polymorphs = 0.061 eV/atom
DFT formation energy = 0.107 eV per atom

Which of these has the highest DFT formation energy? CaSm2Ho

Repeat the third record exactly.
Computed, not measured: Sc2Al3Ru4 after structural relaxation at the PBE level of DFT.

Cell lengths 7.7708, 4.3402, 8.2062 Å; angles 90.00, 93.90, 90.00 degrees
With the nearest neighbours (Å) after each atom.
Space group C2/m (No. 12)
Inequivalent atoms, fractional coordinates:
Sc (0.1795, 0.0000, 0.2164) (multiplicity 4)  7 Ru 2.65-2.83
Al (0.0000, 0.5000, 0.0000) (multiplicity 2)  8 Ru 2.67-2.88
Al (0.1523, 0.0000, 0.5810) (multiplicity 4)  4 Ru 2.54-2.65, 1 Al 2.63
Ru (0.0241, 0.5000, 0.3515) (multiplicity 4)  1 Ru 2.49, 3 Al 2.54-2.65, 2 Sc 2.75
Ru (0.1573, 0.0000, 0.8924) (multiplicity 4)  4 Al 2.55-2.75, 4 Sc 2.65-2.71

DFT formation energy = -0.598 eV per atom

The highest DFT formation energy belongs to which entry? CaSm2Ho